# KV2PbO8 PBE with a Hubbard U relaxed
data_KV2PbO8
_symmetry_space_group_name_H-M 'P -3'
_symmetry_Int_Tables_number 147
_cell_length_a 5.5800
_cell_length_b 5.5800
_cell_length_c 7.8696
_cell_angle_alpha 90.00
_cell_angle_beta 90.00
_cell_angle_gamma 120.00
loop_
_symmetry_equiv_pos_as_xyz
'x,y,z'
'-x,-y,-z'
'-y,x-y,z'
'y,-x+y,-z'
'-x+y,-x,z'
'x-y,x,-z'
loop_
_atom_site_label
_atom_site_fract_x
_atom_site_fract_y
_atom_site_fract_z
K1 0.0000 0.0000 0.0000
V1 0.3333 0.6667 0.7349
Pb1 0.0000 0.0000 0.5000
O1 0.0744 0.3353 0.6707
O2 0.3333 0.6667 0.9499
# E_tot = -76.8 eV/f.u.
# Total moment = 1.06 μB/f.u.
# Volume = 212 Å³ per cell